This record from the Alexandria database describes an optimized crystal structure of Cs3ErSb2Te6. The functional is PBE-GGA.

Results
space group	C2/m, No. 12
volume	483.3	Å³/f.u.
uncorrected formation energy	-805	meV per atom
spin magnetization	0.00	μB/f.u.

Cell and atoms, written as POSCAR:
```
Cs3ErSb2Te6
1.0
3.962 -6.863 0.000
3.962 6.863 0.000
-2.641 0.000 8.887
Cs Er Sb Te
3 1 2 6
Direct
0.000 0.000 0.000
0.332 0.668 0.000
0.668 0.332 0.000
0.500 0.500 0.500
0.166 0.834 0.500
0.834 0.166 0.500
0.107 0.438 0.313
0.231 0.231 0.687
0.438 0.107 0.313
0.562 0.893 0.687
0.769 0.769 0.313
0.893 0.562 0.687
```

***

This record from the Alexandria database describes an optimized crystal structure of La2Tb5PmTh. The functional is PBE-GGA.

Results
space group	Cmc2_1, No. 36
volume	311.2	Å³/f.u.
D(E_F)	1.4765	states/eV per atom
formation energy	1.44	eV per formula unit
spin magnetization	0.00	μB/f.u.

Cell and atoms, written as POSCAR:
```
La2Tb5PmTh
1.0
2.842 -9.991 0.000
2.842 9.991 0.000
0.000 0.000 10.957
La Tb Pm Th
4 10 2 2
Direct
0.114 0.886 0.500
0.118 0.882 0.087
0.882 0.118 0.587
0.886 0.114 0.000
0.016 0.984 0.795
0.283 0.717 0.076
0.299 0.701 0.473
0.394 0.606 0.790
0.479 0.521 0.505
0.521 0.479 0.005
0.606 0.394 0.290
0.701 0.299 0.973
0.717 0.283 0.576
0.984 0.016 0.295
0.203 0.797 0.774
0.797 0.203 0.274
0.418 0.582 0.226
0.582 0.418 0.726
```

***

This record from the Alexandria database describes an optimized crystal structure of TbDyAsS. The functional is PBE-GGA.

Results
space group	P4/mmm, No. 123
volume	92.5	Å³/f.u.
D(E_F)	0.2498	states/eV per atom
uncorrected formation energy	-1798	meV per atom
spin magnetization	0.00	μB/f.u.

Cell and atoms, written as POSCAR:
```
TbDyAsS
1.0
4.031 0.000 0.000
0.000 4.031 0.000
0.000 0.000 5.691
Tb Dy As S
1 1 1 1
Direct
0.000 0.000 0.000
0.500 0.500 0.500
0.500 0.500 0.000
0.000 0.000 0.500
```

***

This record from the Alexandria database describes an optimized crystal structure of Pr4Zn2CuHg. The functional is PBE-GGA.

Results
space group	R-3m, No. 166
volume	208.7	Å³/f.u.
D(E_F)	1.1038	states/eV per atom
formation energy	-2.28	eV per formula unit
spin magnetization	0.01	μB/f.u.

Cell and atoms, written as POSCAR:
```
Pr4Zn2CuHg
1.0
2.643 1.526 8.625
-2.643 1.526 8.625
0.000 -3.051 8.625
Pr Zn Cu Hg
4 2 1 1
Direct
0.120 0.120 0.120
0.371 0.371 0.371
0.629 0.629 0.629
0.880 0.880 0.880
0.247 0.247 0.247
0.753 0.753 0.753
0.000 0.000 0.000
0.500 0.500 0.500
```

***

This record from the Alexandria database describes an optimized crystal structure of Ga4Pb3Au4. The functional is PBE-GGA.

Results
space group	Immm, No. 71
volume	250.2	Å³/f.u.
D(E_F)	0.3970	states/eV per atom
formation energy	-1.23	eV per formula unit
spin magnetization	0.00	μB/f.u.

Cell and atoms, written as POSCAR:
```
Ga4Pb3Au4
1.0
-2.015 2.247 13.817
2.015 -2.247 13.817
2.015 2.247 -13.817
Ga Pb Au
4 3 4
Direct
0.096 0.096 0.000
0.255 0.755 0.500
0.745 0.245 0.500
0.904 0.904 0.000
0.000 0.500 0.500
0.359 0.359 0.000
0.641 0.641 0.000
0.191 0.191 0.000
0.449 0.949 0.500
0.551 0.051 0.500
0.809 0.809 0.000
```

***

This record from the Alexandria database describes an optimized crystal structure of KRb2AlAu. The functional is PBE-GGA.

Results
space group	P4/mmm, No. 123
volume	240.0	Å³/f.u.
D(E_F)	0.7847	states/eV per atom
formation energy	-0.06	eV per formula unit
spin magnetization	0.00	μB/f.u.

Cell and atoms, written as POSCAR:
```
KRb2AlAu
1.0
6.956 0.000 0.000
0.000 6.956 0.000
0.000 0.000 4.961
K Rb Al Au
1 2 1 1
Direct
0.000 0.000 0.000
0.000 0.500 0.500
0.500 0.000 0.500
0.500 0.500 0.000
0.500 0.500 0.500
```

***

This record from the Alexandria database describes an optimized crystal structure of Ca2OsAuO. The functional is PBE-GGA.

Results
space group	P4/mmm, No. 123
volume	119.8	Å³/f.u.
D(E_F)	0.8128	states/eV per atom
uncorrected formation energy	-413	meV per atom
spin magnetization	0.00	μB/f.u.

Cell and atoms, written as POSCAR:
```
Ca2OsAuO
1.0
5.654 0.000 0.000
0.000 5.654 0.000
0.000 0.000 3.749
Ca Os Au O
2 1 1 1
Direct
0.000 0.500 0.000
0.500 0.000 0.000
0.000 0.000 0.000
0.500 0.500 0.500
0.000 0.000 0.500
```

***

This record from the Alexandria database describes an optimized crystal structure of HfNiW. The functional is PBE-GGA.

Results
space group	I4/mmm, No. 139
volume	49.8	Å³/f.u.
D(E_F)	1.1896	states/eV per atom
formation energy	-0.30	eV per formula unit
spin magnetization	0.00	μB/f.u.

Cell and atoms, written as POSCAR:
```
HfNiW
1.0
-1.856 1.856 7.228
1.856 -1.856 7.228
1.856 1.856 -7.228
Hf Ni W
2 2 2
Direct
0.179 0.179 0.000
0.821 0.821 0.000
0.364 0.364 0.000
0.636 0.636 0.000
0.000 0.500 0.500
0.500 0.000 0.500
```

***

This record from the Alexandria database describes an optimized crystal structure of BaHgCl2. The functional is PBE-GGA.

Results
space group	P4mm, No. 99
volume	129.8	Å³/f.u.
D(E_F)	0.0000	states/eV per atom
uncorrected formation energy	-1566	meV per atom
ΔE to the lowest computed polymorph	239	meV/atom
spin magnetization	0.00	μB/f.u.

Cell and atoms, written as POSCAR:
```
BaHgCl2
1.0
4.515 0.000 0.000
0.000 4.515 0.000
0.000 0.000 6.367
Ba Hg Cl
1 1 2
Direct
0.000 0.000 0.000
0.500 0.500 0.630
0.000 0.000 0.480
0.500 0.500 0.138
```

***

This record from the Alexandria database describes an optimized crystal structure of VMoAs2. The functional is PBE-GGA.

Results
space group	Pmc2_1, No. 26
volume	63.7	Å³/f.u.
D(E_F)	0.6263	states/eV per atom
formation energy	-1.55	eV per formula unit
ΔE to the lowest computed polymorph	0	meV/atom
spin magnetization	0.00	μB/f.u.

Cell and atoms, written as POSCAR:
```
VMoAs2
1.0
3.372 0.000 0.000
0.000 6.370 0.000
0.000 0.000 5.930
V Mo As
2 2 4
Direct
0.000 0.066 0.000
0.000 0.934 0.500
0.500 0.434 0.981
0.500 0.566 0.481
0.000 0.312 0.681
0.000 0.688 0.181
0.500 0.171 0.299
0.500 0.829 0.799
```

***

This record from the Alexandria database describes an optimized crystal structure of Gd2AlBi. The functional is PBE-GGA.

Results
space group	R-3m, No. 166
volume	119.6	Å³/f.u.
D(E_F)	0.5348	states/eV per atom
formation energy	-0.42	eV per formula unit
ΔE to the lowest computed polymorph	414	meV/atom
spin magnetization	13.99	μB/f.u.

Cell and atoms, written as POSCAR:
```
Gd2AlBi
1.0
1.785 1.030 10.840
-1.785 1.030 10.840
0.000 -2.061 10.840
Gd Al Bi
2 1 1
Direct
0.098 0.098 0.098
0.902 0.902 0.902
0.500 0.500 0.500
0.000 0.000 0.000
```

***

This record from the Alexandria database describes an optimized crystal structure of Th5TcC4. The functional is PBE-GGA.

Results
space group	Pmmn, No. 59
volume	198.7	Å³/f.u.
D(E_F)	0.8538	states/eV per atom
formation energy	1.00	eV per formula unit
spin magnetization	0.00	μB/f.u.

Cell and atoms, written as POSCAR:
```
Th5TcC4
1.0
7.467 0.000 0.000
0.000 8.607 0.000
0.000 0.000 6.182
Th Tc C
10 2 8
Direct
0.008 0.065 0.232
0.008 0.435 0.232
0.250 0.250 0.663
0.492 0.065 0.232
0.492 0.435 0.232
0.508 0.565 0.768
0.508 0.935 0.768
0.750 0.750 0.337
0.992 0.565 0.768
0.992 0.935 0.768
0.250 0.750 0.335
0.750 0.250 0.665
0.041 0.750 0.120
0.250 0.526 0.486
0.250 0.974 0.486
0.459 0.750 0.120
0.541 0.250 0.880
0.750 0.026 0.514
0.750 0.474 0.514
0.959 0.250 0.880
```

***

What is the volume in the twelfth record?
198.7 Å³/f.u.

***

What is the formula in the first record?
Cs3ErSb2Te6

***

Which value of spin magnetization does entry 3 give?
0.00 μB/f.u.